(1)
{
  "formula": "Be2Tl",
  "functional": "PBE-GGA",
  "state": "optimized geometry",
  "m_tot_mub_per_atom": 0.00,
  "de_polymorph_mev_per_atom": 0.0,
  "density_g_cm3": 7.5,
  "n_ef_per_ev_cell": 2.16,
  "formation_enthalpy_0k_mev_per_atom": 269.4,
  "volume_a3_per_cell": 97.9,
  "lattice_angstrom": [[3.081, -1.774, 0.000], [3.081, 1.774, 0.000], [-1.437, 0.000, 8.955]],
  "species": ["Be", "Be", "Be", "Be", "Tl", "Tl"],
  "frac_coords": [[0.000, 0.000, 0.000], [0.052, 0.052, 0.219], [0.359, 0.359, 0.109], [0.693, 0.693, 0.109], [0.596, 0.596, 0.774], [0.783, 0.783, 0.442]]
}

(2)
{
  "formula": "BeTl",
  "functional": "PBE-GGA",
  "state": "optimized geometry",
  "m_tot_mub_per_atom": 0.00,
  "de_polymorph_mev_per_atom": 336.2,
  "density_g_cm3": 9.2,
  "n_ef_per_ev_cell": 1.45,
  "formation_enthalpy_0k_mev_per_atom": 774.0,
  "volume_a3_per_cell": 77.1,
  "lattice_angstrom": [[3.381, 0.000, 0.000], [0.000, 5.506, 0.000], [0.000, 0.000, 4.142]],
  "species": ["Be", "Be", "Tl", "Tl"],
  "frac_coords": [[0.250, 0.250, 0.216], [0.750, 0.750, 0.784], [0.250, 0.750, 0.279], [0.750, 0.250, 0.721]]
}

(3)
{
  "formula": "BeTl4",
  "functional": "PBE-GGA",
  "state": "optimized geometry",
  "m_tot_mub_per_atom": 0.00,
  "de_polymorph_mev_per_atom": 0.0,
  "density_g_cm3": 10.0,
  "n_ef_per_ev_cell": 2.99,
  "formation_enthalpy_0k_mev_per_atom": 272.3,
  "volume_a3_per_cell": 137.1,
  "lattice_angstrom": [[5.156, 0.000, 0.000], [0.000, 5.156, 0.000], [0.000, 0.000, 5.156]],
  "species": ["Be", "Tl", "Tl", "Tl", "Tl"],
  "frac_coords": [[0.000, 0.000, 0.000], [0.000, 0.000, 0.500], [0.000, 0.500, 0.000], [0.500, 0.000, 0.000], [0.500, 0.500, 0.500]]
}

(4)
{
  "formula": "BeTl2",
  "functional": "PBE-GGA",
  "state": "optimized geometry",
  "m_tot_mub_per_atom": 0.00,
  "de_polymorph_mev_per_atom": 636.8,
  "density_g_cm3": 7.8,
  "n_ef_per_ev_cell": 4.62,
  "formation_enthalpy_0k_mev_per_atom": 1049.8,
  "volume_a3_per_cell": 177.8,
  "lattice_angstrom": [[0.000, 4.463, 4.463], [4.463, 0.000, 4.463], [4.463, 4.463, 0.000]],
  "species": ["Be", "Be", "Tl", "Tl", "Tl", "Tl"],
  "frac_coords": [[0.125, 0.125, 0.125], [0.875, 0.875, 0.875], [0.000, 0.500, 0.500], [0.500, 0.000, 0.500], [0.500, 0.500, 0.000], [0.500, 0.500, 0.500]]
}

(5)
{
  "formula": "BeTl",
  "functional": "PBE-GGA",
  "state": "optimized geometry",
  "m_tot_mub_per_atom": 0.00,
  "de_polymorph_mev_per_atom": 561.2,
  "density_g_cm3": 7.3,
  "n_ef_per_ev_cell": 1.44,
  "formation_enthalpy_0k_mev_per_atom": 999.0,
  "volume_a3_per_cell": 48.6,
  "lattice_angstrom": [[0.000, 2.896, 2.896], [2.896, 0.000, 2.896], [2.896, 2.896, 0.000]],
  "species": ["Be", "Tl"],
  "frac_coords": [[0.000, 0.000, 0.000], [0.750, 0.750, 0.750]]
}

(6)
{
  "formula": "Be3Tl4",
  "functional": "PBE-GGA",
  "state": "optimized geometry",
  "m_tot_mub_per_atom": 0.00,
  "de_polymorph_mev_per_atom": 5.9,
  "density_g_cm3": 9.2,
  "n_ef_per_ev_cell": 2.65,
  "formation_enthalpy_0k_mev_per_atom": 553.5,
  "volume_a3_per_cell": 152.8,
  "lattice_angstrom": [[-1.559, 1.559, 15.712], [1.559, -1.559, 15.712], [1.559, 1.559, -15.712]],
  "species": ["Be", "Be", "Be", "Tl", "Tl", "Tl", "Tl"],
  "frac_coords": [[0.000, 0.000, 0.000], [0.259, 0.259, 0.000], [0.741, 0.741, 0.000], [0.164, 0.164, 0.000], [0.439, 0.439, 0.000], [0.561, 0.561, 0.000], [0.836, 0.836, 0.000]]
}

(7)
{
  "formula": "BeTl",
  "functional": "PBE-GGA",
  "state": "optimized geometry",
  "m_tot_mub_per_atom": 0.00,
  "de_polymorph_mev_per_atom": 239.3,
  "density_g_cm3": 7.7,
  "n_ef_per_ev_cell": 1.81,
  "formation_enthalpy_0k_mev_per_atom": 677.1,
  "volume_a3_per_cell": 184.6,
  "lattice_angstrom": [[-4.093, 4.093, 2.756], [4.093, -4.093, 2.756], [4.093, 4.093, -2.756]],
  "species": ["Be", "Be", "Be", "Be", "Tl", "Tl", "Tl", "Tl"],
  "frac_coords": [[0.089, 0.597, 0.685], [0.403, 0.089, 0.492], [0.597, 0.911, 0.508], [0.911, 0.403, 0.315], [0.221, 0.327, 0.548], [0.327, 0.779, 0.106], [0.673, 0.221, 0.894], [0.779, 0.673, 0.452]]
}

(8)
{
  "formula": "BeTl2",
  "functional": "PBE-GGA",
  "state": "optimized geometry",
  "m_tot_mub_per_atom": 0.00,
  "de_polymorph_mev_per_atom": 16.3,
  "density_g_cm3": 9.8,
  "n_ef_per_ev_cell": 2.13,
  "formation_enthalpy_0k_mev_per_atom": 429.4,
  "volume_a3_per_cell": 141.0,
  "lattice_angstrom": [[7.760, -1.673, 0.000], [7.760, 1.673, 0.000], [-0.840, 0.000, 5.429]],
  "species": ["Be", "Be", "Tl", "Tl", "Tl", "Tl"],
  "frac_coords": [[0.000, 0.000, 0.000], [0.557, 0.557, 0.245], [0.210, 0.210, 0.322], [0.602, 0.602, 0.763], [0.817, 0.817, 0.875], [0.934, 0.934, 0.436]]
}

(9)
{
  "formula": "BeTl",
  "functional": "PBE-GGA",
  "state": "optimized geometry",
  "m_tot_mub_per_atom": 0.00,
  "de_polymorph_mev_per_atom": 369.5,
  "density_g_cm3": 9.2,
  "n_ef_per_ev_cell": 2.31,
  "formation_enthalpy_0k_mev_per_atom": 807.3,
  "volume_a3_per_cell": 77.3,
  "lattice_angstrom": [[3.365, 0.000, 0.000], [-1.683, 2.914, 0.000], [0.000, 0.000, 7.878]],
  "species": ["Be", "Be", "Tl", "Tl"],
  "frac_coords": [[0.333, 0.667, 0.250], [0.667, 0.333, 0.750], [0.000, 0.000, 0.000], [0.000, 0.000, 0.500]]
}

(10)
{
  "formula": "BeTl",
  "functional": "PBE-GGA",
  "state": "optimized geometry",
  "m_tot_mub_per_atom": 0.00,
  "de_polymorph_mev_per_atom": 369.0,
  "density_g_cm3": 7.8,
  "n_ef_per_ev_cell": 1.10,
  "formation_enthalpy_0k_mev_per_atom": 806.8,
  "volume_a3_per_cell": 91.3,
  "lattice_angstrom": [[4.614, 0.000, 0.000], [-2.307, 3.995, 0.000], [0.000, 0.000, 4.955]],
  "species": ["Be", "Be", "Tl", "Tl"],
  "frac_coords": [[0.333, 0.667, 0.250], [0.667, 0.333, 0.750], [0.333, 0.667, 0.750], [0.667, 0.333, 0.250]]
}

(11)
{
  "formula": "Be2Tl",
  "functional": "PBE-GGA",
  "state": "optimized geometry",
  "m_tot_mub_per_atom": 0.00,
  "de_polymorph_mev_per_atom": 93.0,
  "density_g_cm3": 6.5,
  "n_ef_per_ev_cell": 3.11,
  "formation_enthalpy_0k_mev_per_atom": 362.3,
  "volume_a3_per_cell": 113.6,
  "lattice_angstrom": [[7.243, -1.848, 0.000], [7.243, 1.848, 0.000], [-0.173, 0.000, 4.246]],
  "species": ["Be", "Be", "Be", "Be", "Tl", "Tl"],
  "frac_coords": [[0.238, 0.238, 0.377], [0.245, 0.245, 0.874], [0.755, 0.755, 0.126], [0.762, 0.762, 0.623], [0.416, 0.416, 0.239], [0.584, 0.584, 0.761]]
}

(12)
{
  "formula": "Be5Tl",
  "functional": "PBE-GGA",
  "state": "optimized geometry",
  "m_tot_mub_per_atom": 0.00,
  "de_polymorph_mev_per_atom": 0.0,
  "density_g_cm3": 5.7,
  "n_ef_per_ev_cell": 0.94,
  "formation_enthalpy_0k_mev_per_atom": 352.1,
  "volume_a3_per_cell": 72.7,
  "lattice_angstrom": [[3.609, -1.759, 0.000], [3.609, 1.759, 0.000], [-2.466, 0.000, 5.725]],
  "species": ["Be", "Be", "Be", "Be", "Be", "Tl"],
  "frac_coords": [[0.000, 0.000, 0.000], [0.320, 0.320, 0.142], [0.366, 0.366, 0.828], [0.634, 0.634, 0.172], [0.680, 0.680, 0.858], [0.000, 0.000, 0.500]]
}

no.,calculated total energy (eV/cell)
1,-18.02
2,-9.09
3,-11.83
4,-10.62
5,-4.09
6,-16.77
7,-18.95
8,-14.34
9,-8.96
10,-8.96
11,-17.46
12,-18.88